1.
LuPuAgRh | PBE | optimized geometry

Unit cell a=4.9596 b=4.9596 c=4.9596 alpha=60.00 beta=60.00 gamma=60.00
Each line ends with the local moment (μB).
Fractional coordinates of all 4 atoms:
Pu: 0.5000 0.5000 0.5000  5.25
Ag: 0.2500 0.2500 0.2500  0.04
Lu: 0.0000 0.0000 0.0000  0.13
Rh: 0.7500 0.7500 0.7500  -0.20

For the formation energy, the calculation gives -0.335 eV/atom. The density is 12.12 g cm⁻³. The value obtained for the final energy is -7.5989 eV/atom. As for the space-group type: F-43m.

2.
MgScCd4 | PBE | optimized geometry

Unit cell a=5.7583 b=5.7583 c=5.7583 alpha=60.00 beta=60.00 gamma=60.00
Fractional coordinates of all 6 atoms:
Mg: 0.7500 0.7500 0.7500
Cd: 0.3746 0.3746 0.8763
Cd: 0.3746 0.8763 0.3746
Cd: 0.8763 0.3746 0.3746
Cd: 0.3746 0.3746 0.3746
Sc: 0.0000 0.0000 0.0000

For the formation energy, the calculation gives -0.058 eV/atom. Its distance to the lowest polymorph of the same formula is 0.090 eV per atom. The density is 6.38 g cm⁻³. The value obtained for the final energy is -1.9889 eV/atom. As for the space-group type: F-43m.

3.
Be4PtW | PBE | optimized geometry

Unit cell a=4.4569 b=4.4569 c=4.4569 alpha=60.00 beta=60.00 gamma=60.00
Fractional coordinates of all 6 atoms:
Be: 0.3705 0.8885 0.3705
Be: 0.3705 0.3705 0.3705
Be: 0.8885 0.3705 0.3705
W: 0.0000 0.0000 0.0000
Pt: 0.7500 0.7500 0.7500
Be: 0.3705 0.3705 0.8885

For the formation energy, the calculation gives -0.178 eV/atom. The density is 11.01 g cm⁻³. The value obtained for the final energy is -5.8277 eV/atom. As for the space-group type: F-43m.

4.
Nd2PuThP4 | PBE | optimized geometry

Unit cell a=4.1289 b=7.1312 c=7.1500 alpha=109.54 beta=90.00 gamma=90.00
Each line ends with the local moment (μB).
Fractional coordinates of all 8 atoms:
P: 0.0000 0.2492 0.7564  -0.03
Nd: 0.0000 0.5000 0.5000  0.03
P: 0.5000 0.7578 0.7607  -0.07
P: 0.5000 0.2422 0.2393  -0.07
Nd: 0.5000 0.0000 0.5000  0.02
Th: 0.5000 0.5000 0.0000  0.02
Pu: 0.0000 0.0000 0.0000  5.03
P: 0.0000 0.7508 0.2436  -0.03

For the formation energy, the calculation gives -1.460 eV/atom. The density is 7.44 g cm⁻³. The value obtained for the final energy is -8.0762 eV/atom. As for the space-group type: P2/m.

5.
BaAgS3 | PBE | optimized geometry

Unit cell a=4.9521 b=4.9521 c=4.9521 alpha=90.00 beta=90.00 gamma=90.00
Fractional coordinates of all 5 atoms:
S: 0.5000 0.0000 0.0000
Ba: 0.5000 0.5000 0.5000
S: 0.0000 0.0000 0.5000
S: 0.0000 0.5000 0.0000
Ag: 0.0000 0.0000 0.0000

Its distance to the lowest polymorph of the same formula is 0.206 eV per atom. The density is 4.67 g cm⁻³. The value obtained for the final energy is -3.9752 eV/atom. As for the uncorrected formation energy: -0.54 eV/atom. As for the space-group type: Pm-3m.

6.
CaGe2Pt4 | PBE | optimized geometry

Unit cell a=3.9720 b=7.8992 c=7.8992 alpha=90.00 beta=90.00 gamma=90.00
Fractional coordinates of all 14 atoms:
Pt: 0.5000 0.5773 0.1725
Pt: 0.0000 0.3275 0.0773
Ge: 0.5000 0.2736 0.2736
Pt: 0.0000 0.0773 0.3275
Ge: 0.5000 0.7264 0.7264
Pt: 0.5000 0.4227 0.8275
Ge: 0.0000 0.2264 0.7736
Ca: 0.5000 0.0000 0.0000
Pt: 0.5000 0.8275 0.4227
Pt: 0.0000 0.9227 0.6725
Ca: 0.0000 0.5000 0.5000
Pt: 0.0000 0.6725 0.9227
Pt: 0.5000 0.1725 0.5773
Ge: 0.0000 0.7736 0.2264

For the formation energy, the calculation gives -0.694 eV/atom. The density is 12.94 g cm⁻³. The value obtained for the final energy is -5.7510 eV/atom. As for the space-group type: P4_2/mnm.

7.
Ac2MgSnGe | PBE | optimized geometry

Unit cell a=4.9006 b=7.9309 c=8.2744 alpha=99.49 beta=90.00 gamma=90.00
Fractional coordinates of all 10 atoms:
Sn: 0.7500 0.3555 0.7030
Mg: 0.7500 0.4471 0.3493
Ac: 0.2500 0.1330 0.4256
Sn: 0.2500 0.6445 0.2970
Ac: 0.2500 0.2505 0.9742
Ge: 0.7500 0.1258 0.1929
Ac: 0.7500 0.8670 0.5744
Ac: 0.7500 0.7495 0.0258
Ge: 0.2500 0.8742 0.8071
Mg: 0.2500 0.5529 0.6507

For the formation energy, the calculation gives -0.581 eV/atom. The density is 7.01 g cm⁻³. The value obtained for the final energy is -4.2678 eV/atom. As for the space-group type: P2_1/m.

8.
Sr2TlNiGe | PBE | optimized geometry

Unit cell a=5.7741 b=5.7741 c=4.4868 alpha=90.00 beta=90.00 gamma=90.00
Fractional coordinates of all 5 atoms:
Tl: 0.5000 0.5000 0.5000
Ni: 0.0000 0.0000 0.0000
Sr: 0.5000 0.0000 0.0000
Sr: 0.0000 0.5000 0.0000
Ge: 0.0000 0.0000 0.5000

For the formation energy, the calculation gives -0.310 eV/atom. The density is 5.67 g cm⁻³. The value obtained for the final energy is -3.5359 eV/atom. As for the space-group type: P4/mmm.

9.
Ca2Mg2Cu | PBE | optimized geometry

Unit cell a=4.2977 b=4.2977 c=17.3987 alpha=90.00 beta=90.00 gamma=90.00
Fractional coordinates of all 10 atoms:
Mg: 0.5000 0.5000 0.0000
Mg: 0.5000 0.0000 0.6495
Mg: 0.0000 0.5000 0.3505
Ca: 0.0000 0.0000 0.5000
Ca: 0.0000 0.5000 0.1580
Cu: 0.0000 0.5000 0.6248
Mg: 0.0000 0.0000 0.0000
Cu: 0.5000 0.0000 0.3752
Ca: 0.5000 0.5000 0.5000
Ca: 0.5000 0.0000 0.8420

For the formation energy, the calculation gives 0.314 eV/atom. Its distance to the lowest polymorph of the same formula is 0.399 eV per atom. The density is 1.99 g cm⁻³. The value obtained for the final energy is -1.9434 eV/atom. As for the space-group type: P4/nmm.

10.
Zn6SbPd12 | PBE | optimized geometry

Unit cell a=7.0088 b=7.0088 c=7.0088 alpha=100.56 beta=100.56 gamma=100.56
Fractional coordinates of all 19 atoms:
Sb: 0.0000 0.0000 0.0000
Pd: 0.1503 0.6796 0.9975
Pd: 0.4823 0.3742 0.8235
Zn: 0.8228 0.5240 0.7379
Zn: 0.4760 0.2621 0.1772
Pd: 0.0025 0.8497 0.3204
Pd: 0.9975 0.1503 0.6796
Zn: 0.1772 0.4760 0.2621
Pd: 0.3742 0.8235 0.4823
Zn: 0.2621 0.1772 0.4760
Pd: 0.5177 0.6258 0.1765
Zn: 0.7379 0.8228 0.5240
Pd: 0.1765 0.5177 0.6258
Pd: 0.6258 0.1765 0.5177
Pd: 0.3204 0.0025 0.8497
Pd: 0.8497 0.3204 0.0025
Zn: 0.5240 0.7379 0.8228
Pd: 0.8235 0.4823 0.3742
Pd: 0.6796 0.9975 0.1503

The density is 9.17 g cm⁻³. The value obtained for the final energy is -4.0906 eV/atom. As for the uncorrected formation energy: -0.19 eV/atom. As for the space-group type: R-3.

11.
Pr4Ga2Cl5 | PBE | optimized geometry

Unit cell a=4.0294 b=8.4689 c=12.2638 alpha=76.10 beta=99.46 gamma=90.00
Fractional coordinates of all 11 atoms:
Pr: 0.9897 0.2678 0.9795
Cl: 0.2296 0.3359 0.4592
Pr: 0.6617 0.5273 0.3234
Cl: 0.7704 0.6641 0.5408
Pr: 0.0103 0.7322 0.0205
Cl: 0.5000 0.0000 0.0000
Pr: 0.3383 0.4727 0.6766
Cl: 0.1286 0.7681 0.2573
Cl: 0.8714 0.2319 0.7427
Ga: 0.4464 0.5551 0.8927
Ga: 0.5536 0.4449 0.1073

The density is 3.65 g cm⁻³. The value obtained for the final energy is -4.5862 eV/atom. As for the uncorrected formation energy: -1.46 eV/atom. As for the space-group type: C2/m.

12.
Sb2PBr | PBE | optimized geometry

Unit cell a=3.4878 b=3.4878 c=10.4475 alpha=90.00 beta=90.00 gamma=118.18
Fractional coordinates of all 4 atoms:
Sb: 0.5000 0.5000 0.2714
Sb: 0.0000 0.0000 0.9574
Br: 0.0000 0.0000 0.4846
P: 0.5000 0.5000 0.7865

Its distance to the lowest polymorph of the same formula is 0.348 eV per atom. The density is 5.25 g cm⁻³. The value obtained for the final energy is -3.4890 eV/atom. As for the uncorrected formation energy: 0.34 eV/atom. As for the space-group type: Cmm2.